DFT (GGA+U) results for a relaxed structure of CrIrF2.

Lattice parameters (Å, degrees): 2.6843 2.6843 29.7512 90.00 90.00 120.00
Space group R-3m (No. 166, hexagonal axes)
Unique sites:
Cr 0.0000 0.0000 0.0000 (multiplicity 3)
Ir 0.0000 0.0000 0.5000 (multiplicity 3)
F 0.0000 0.0000 0.0587 (multiplicity 6)

Computed properties:
- total energy (eV per atom) = -5.24
- total magnetic moment (μB per cell) = 3.700
- polymorph energy (0 for the lowest one) (meV/atom) = 0